DFT (PBE) results for a geometry-optimized ScFeCuRu structure.

For the energy of formation, the calculation gives -0.3 eV per formula unit.

abc: 6.1787 6.1787 6.1787
angles: 90.00 90.00 90.00
With the nearest neighbours (Å) after each atom.
Space group F-43m (No. 216)
Unique sites:
Sc  0.0000  0.0000  0.0000  4 Ru 2.68, 4 Cu 2.68
Fe  0.0000  0.0000  0.5000  4 Cu 2.68, 4 Ru 2.68
Cu  0.2500  0.2500  0.2500  4 Fe 2.68, 4 Sc 2.68
Ru  0.2500  0.2500  0.7500  4 Fe 2.68, 4 Sc 2.68

***

DFT (PBE) results for a geometry-optimized KZnAu2 structure.

For the energy of formation, the calculation gives -0.8 eV per formula unit.

abc: 7.0065 4.8594 10.7633
angles: 90.00 90.00 90.00
With the nearest neighbours (Å) after each atom.
Space group Pnma (No. 62)
Unique sites:
K  0.2393  0.2500  0.1664  8 Au 3.20-3.54, 5 Zn 3.35-3.55
Zn  0.0622  0.7500  0.3778  5 Au 2.60-2.85
Au  0.0675  0.2500  0.8571  2 Zn 2.60-2.69
Au  0.2305  0.2500  0.4636  3 Zn 2.67-2.85

***

DFT (PBE) results for a geometry-optimized Tb2PmHoIn4 structure.

For the energy of formation, the calculation gives -3.8 eV per formula unit.

abc: 5.3471 5.3471 26.2645
angles: 90.00 90.00 120.00
With the nearest neighbours (Å) after each atom.
Space group R-3m (No. 166, hexagonal axes)
Unique sites:
Tb  0.0000  0.0000  0.2504  8 In 3.24-3.33
Pm  0.0000  0.0000  0.5000  8 In 3.29-3.31
Ho  0.0000  0.0000  0.0000  8 In 3.25-3.27
In  0.0000  0.0000  0.1238  1 Ho 3.25, 4 Tb 3.27-3.33, 3 Pm 3.29
In  0.0000  0.0000  0.3739  4 Tb 3.24-3.28, 3 Ho 3.27, 1 Pm 3.31

***

DFT (PBE) results for a geometry-optimized HoZnO3 structure.

Its uncorrected formation energy is -1.882 eV per atom.

abc: 3.8349 3.8349 3.8349
angles: 90.00 90.00 90.00
With the nearest neighbours (Å) after each atom.
Space group Pm-3m (No. 221)
Unique sites:
Ho  0.0000  0.0000  0.0000  12 O 2.71
Zn  0.5000  0.5000  0.5000  6 O 1.92
O  0.0000  0.5000  0.5000  2 Zn 1.92

***

DFT (PBE) results for a geometry-optimized ZrCr2Br structure.

Its uncorrected formation energy is 0.429 eV per atom. Its energy above the lowest structure with this stoichiometry is 359 meV/atom.

abc: 4.4982 4.5326 7.8518
angles: 90.00 90.00 90.00
With the nearest neighbours (Å) after each atom.
Space group Cmmm (No. 65)
Unique sites:
Zr  0.0000  0.0000  0.0000  8 Cr 2.97-2.99, 4 Zr 3.19
Cr  0.0000  0.5000  0.2479  4 Zr 2.97-2.99, 4 Br 3.00-3.01, 4 Cr 3.19
Br  0.0000  0.0000  0.5000  8 Cr 3.00-3.01, 4 Br 3.19

***

DFT (PBE) results for a geometry-optimized Co2CuAu structure.

For the energy of formation, the calculation gives 1.0 eV per formula unit.

abc: 5.9629 5.9629 5.9629
angles: 90.00 90.00 90.00
With the nearest neighbours (Å) after each atom.
Space group F-43m (No. 216)
Unique sites:
Co  0.0000  0.0000  0.0000  4 Co 2.58, 4 Au 2.58
Co  0.2500  0.2500  0.2500  4 Co 2.58, 4 Cu 2.58
Cu  0.0000  0.0000  0.5000  4 Co 2.58, 4 Au 2.58
Au  0.2500  0.2500  0.7500  4 Co 2.58, 4 Cu 2.58

***

DFT (PBE) results for a geometry-optimized BaPm2AgTe4 structure.

Its uncorrected formation energy is -1.273 eV per atom.

abc: 4.5711 15.1541 15.7694
angles: 90.00 90.00 90.00
With the nearest neighbours (Å) after each atom.
Space group Cmcm (No. 63)
Unique sites:
Ba  0.0000  0.1295  0.2500  6 Te 3.48-3.50
Pm  0.0000  0.3748  0.0630  6 Te 3.13-3.26
Ag  0.0000  0.1488  0.7500  4 Te 2.79-2.84
Te  0.0000  0.0000  0.0000  4 Pm 3.13
Te  0.0000  0.2700  0.6124  1 Ag 2.84
Te  0.0000  0.4562  0.2500  2 Ag 2.79

***

DFT (PBE) results for a geometry-optimized Tb13Ho3 structure.

For the energy of formation, the calculation gives 0.2 eV per formula unit. Its energy above the lowest structure with this stoichiometry is 2 meV/atom.

abc: 10.0182 10.0388 10.0395
angles: 90.00 90.00 90.00
With the nearest neighbours (Å) after each atom.
Space group Amm2 (No. 38)
Unique sites:
Tb  0.0000  0.0000  0.9996  10 Tb 3.55, 2 Ho 3.55
Tb  0.0000  0.0000  0.5000  2 Ho 3.54, 10 Tb 3.55
Tb  0.0000  0.2504  0.2498  2 Ho 3.54, 10 Tb 3.55
Tb  0.2504  0.0000  0.2500  1 Ho 3.55, 11 Tb 3.55
Tb  0.2503  0.2502  0.9998  3 Ho 3.54-3.55, 9 Tb 3.54-3.55
Tb  0.5000  0.0000  0.9993  2 Ho 3.54, 10 Tb 3.54-3.56
Tb  0.5000  0.2504  0.2498  4 Ho 3.54-3.56, 8 Tb 3.54-3.56
Ho  0.2501  0.0000  0.7496  1 Ho 3.54, 11 Tb 3.54-3.55
Ho  0.5000  0.0000  0.5003  2 Ho 3.54, 10 Tb 3.54-3.56

***

DFT (PBE) results for a geometry-optimized Mn4AlCo structure.

For the energy of formation, the calculation gives 0.7 eV per formula unit.

abc: 6.5499 6.5499 6.5499
angles: 90.00 90.00 90.00
With the nearest neighbours (Å) after each atom.
Space group F-43m (No. 216)
Unique sites:
Mn  0.1250  0.1250  0.1250  6 Mn 2.31-2.32
Al  0.2500  0.2500  0.7500  12 Mn 2.72, 4 Co 2.84
Co  0.0000  0.0000  0.5000  12 Mn 2.72, 4 Al 2.84

***

DFT (PBE) results for a geometry-optimized Nd5SnS4 structure.

Its uncorrected formation energy is -1.736 eV per atom.

abc: 13.7618 4.1738 10.2355
angles: 90.00 119.25 90.00
With the nearest neighbours (Å) after each atom.
Space group C2/m (No. 12)
Unique sites:
Nd  0.0000  0.0000  0.0000  6 S 2.91-2.92
Nd  0.1094  0.5000  0.3927  4 S 2.90-3.00, 2 Sn 3.07
Nd  0.2026  0.0000  0.8131  5 S 2.90-2.93, 1 Sn 3.05
Sn  0.0000  0.0000  0.5000  6 Nd 3.05-3.07
S  0.0953  0.5000  0.8992  6 Nd 2.90-2.94
S  0.2024  0.0000  0.2905  6 Nd 2.90-3.00

***

DFT (PBE) results for a geometry-optimized Ga2PPd2 structure.

For the energy of formation, the calculation gives -1.3 eV per formula unit. Its energy above the lowest structure with this stoichiometry is 0 meV/atom.

abc: 7.3988 7.3988 2.8947
angles: 90.00 90.00 90.00
With the nearest neighbours (Å) after each atom.
Space group P4/mbm (No. 127)
Unique sites:
Ga  0.1535  0.3465  0.0000  6 Pd 2.55-2.65
P  0.0000  0.0000  0.5000  4 Pd 2.83, 2 P 2.89, 8 Ga 3.16
Pd  0.1460  0.6460  0.5000  6 Ga 2.55-2.65, 2 P 2.83

***

DFT (PBE) results for a geometry-optimized Nd2AlCo2 structure.

For the energy of formation, the calculation gives -1.3 eV per formula unit.

abc: 9.5711 5.6068 7.6556
angles: 90.00 103.61 90.00
With the nearest neighbours (Å) after each atom.
Space group C2/c (No. 15)
Unique sites:
Nd  0.1457  0.1442  0.1459  6 Co 2.95-3.02, 2 Al 3.19-3.30
Al  0.0000  0.3823  0.7500  4 Co 2.56-2.57
Co  0.1431  0.3571  0.5052  1 Co 2.39, 2 Al 2.56-2.57

***

no.,magnetization (μB per formula unit),total DFT energy (no corrections) (eV per atom)
1,3.466,-7.106
2,0.000,-2.434
3,0.000,-4.167
4,0.000,-6.028
5,6.929,-6.938
6,3.609,-5.146
7,0.000,-4.628
8,0.000,-4.606
9,2.550,-7.803
10,0.000,-6.172
11,0.000,-4.628
12,0.001,-5.762